[1]
Compound: IrPt
Source: OQMD
Functional: PBE
Structure: relaxed

Computed properties:
- Formation energy from the elements: 0.822 eV/atom
- Total magnetic moment: 0.05 Bohr magnetons per cell

Unit cell a=5.1819 b=5.1819 c=5.1819 alpha=90.00 beta=90.00 gamma=90.00
With the nearest neighbours (Å) after each atom.
Atoms (fractional coordinates):
Ir 0.0000 0.0000 0.0000  6 Pt 2.59
Ir 0.0000 0.5000 0.5000  6 Pt 2.59
Ir 0.5000 0.0000 0.5000  6 Pt 2.59
Ir 0.5000 0.5000 0.0000  6 Pt 2.59
Pt 0.0000 0.0000 0.5000  6 Ir 2.59
Pt 0.0000 0.5000 0.0000  6 Ir 2.59
Pt 0.5000 0.0000 0.0000  6 Ir 2.59
Pt 0.5000 0.5000 0.5000  6 Ir 2.59

[2]
Compound: PuIrPt
Source: OQMD
Functional: PBE
Structure: relaxed

Computed properties:
- Formation energy from the elements: -0.223 eV/atom
- ΔE to the lowest computed polymorph: 0 meV per atom
- Total magnetic moment: 16.06 Bohr magnetons per cell

Unit cell a=6.3218 b=6.3218 c=6.3218 alpha=90.00 beta=90.00 gamma=90.00
With the nearest neighbours (Å) after each atom.
Atoms (fractional coordinates):
Pu 0.0000 0.0000 0.0000  4 Ir 2.74
Pu 0.0000 0.5000 0.5000  4 Ir 2.74
Pu 0.5000 0.0000 0.5000  4 Ir 2.74
Pu 0.5000 0.5000 0.0000  4 Ir 2.74
Ir 0.2500 0.2500 0.2500  4 Pt 2.74, 4 Pu 2.74
Ir 0.2500 0.7500 0.7500  4 Pu 2.74, 4 Pt 2.74
Ir 0.7500 0.2500 0.7500  4 Pu 2.74, 4 Pt 2.74
Ir 0.7500 0.7500 0.2500  4 Pu 2.74, 4 Pt 2.74
Pt 0.0000 0.0000 0.5000  4 Ir 2.74
Pt 0.0000 0.5000 0.0000  4 Ir 2.74
Pt 0.5000 0.0000 0.0000  4 Ir 2.74
Pt 0.5000 0.5000 0.5000  4 Ir 2.74

[3]
Compound: Pu8Ir5Pt
Source: OQMD
Functional: PBE
Structure: relaxed

Computed properties:
- Formation energy from the elements: -0.614 eV/atom
- Total magnetic moment: 40.73 Bohr magnetons per cell

Unit cell a=7.3928 b=7.3928 c=7.3928 alpha=109.31 beta=109.31 gamma=109.78
With the nearest neighbours (Å) after each atom.
Atoms (fractional coordinates):
Pu 0.1178 0.3744 0.6040  5 Ir 2.81-3.09, 1 Pt 2.89
Pu 0.1203 0.3741 0.1098  5 Ir 2.83-3.10, 1 Pt 3.11
Pu 0.2643 0.0105 0.8902  5 Ir 2.83-3.10, 1 Pt 3.11
Pu 0.4863 0.8822 0.2566  5 Ir 2.81-3.09, 1 Pt 2.89
Pu 0.6256 0.2297 0.7434  5 Ir 2.81-3.09, 1 Pt 2.89
Pu 0.6259 0.7357 0.7462  5 Ir 2.83-3.10, 1 Pt 3.11
Pu 0.7703 0.5137 0.3960  5 Ir 2.81-3.09, 1 Pt 2.89
Pu 0.9895 0.8797 0.2538  5 Ir 2.83-3.10, 1 Pt 3.11
Ir 0.9998 0.6237 0.8801  8 Pu 2.81-3.10
Ir 0.2500 0.7500 0.5000  8 Pu 2.83-3.05
Ir 0.3763 0.2564 0.3762  8 Pu 2.81-3.10
Ir 0.7436 0.1197 0.1199  8 Pu 2.81-3.10
Ir 0.8803 0.0002 0.6238  8 Pu 2.81-3.10
Pt 0.5000 0.5000 0.0000  8 Pu 2.89-3.11

[4]
Compound: PuIrPt
Source: OQMD
Functional: PBE
Structure: relaxed

Computed properties:
- Formation energy from the elements: 0.337 eV/atom
- ΔE to the lowest computed polymorph: 560 meV per atom
- Total magnetic moment: 0.03 Bohr magnetons per cell

Unit cell a=6.2996 b=6.2996 c=6.2996 alpha=90.00 beta=90.00 gamma=90.00
With the nearest neighbours (Å) after each atom.
Atoms (fractional coordinates):
Pu 0.0000 0.0000 0.0000  4 Ir 2.73, 4 Pt 2.73
Pu 0.0000 0.5000 0.5000  4 Ir 2.73, 4 Pt 2.73
Pu 0.5000 0.0000 0.5000  4 Ir 2.73, 4 Pt 2.73
Pu 0.5000 0.5000 0.0000  4 Ir 2.73, 4 Pt 2.73
Ir 0.2500 0.2500 0.7500  4 Pu 2.73
Ir 0.2500 0.7500 0.2500  4 Pu 2.73
Ir 0.7500 0.2500 0.2500  4 Pu 2.73
Ir 0.7500 0.7500 0.7500  4 Pu 2.73
Pt 0.2500 0.2500 0.2500  4 Pu 2.73
Pt 0.2500 0.7500 0.7500  4 Pu 2.73
Pt 0.7500 0.2500 0.7500  4 Pu 2.73
Pt 0.7500 0.7500 0.2500  4 Pu 2.73

- What is the formula in the first record?
  IrPt

- Which formula does entry 1 have?
  IrPt